1.
Below is La2YZn after structural relaxation, with properties calculated at the PBE level.

The calculation puts the offset from the most stable computed form at 31 meV per atom. The value obtained for the total magnetization is 0.000 μB/atom. For the density of states at the Fermi level, the calculation gives 1.393 states/eV/atom. The energy of formation comes out at -0.130 eV/atom.

Lattice parameters (Å, degrees): 3.760 3.760 8.800 90.00 90.00 90.02
Sites, in units of the cell vectors:
La1 0.000 0.000 0.960
La2 0.000 0.000 0.540
Y1 0.500 0.500 0.250
Zn1 0.500 0.500 0.750



2.
Below is GeBSb2 after structural relaxation, with properties calculated at the PBE level.

The calculation puts the offset from the most stable computed form at 585 meV per atom. As for the raw formation energy: 1001 meV/atom. The value obtained for the total magnetization is 0.000 μB/atom. For the density of states at the Fermi level, the calculation gives 0.431 states/eV/atom.

Lattice parameters (Å, degrees): 4.850 4.850 4.850 60.00 60.00 60.00
Sites, in units of the cell vectors:
B1 0.000 0.000 0.000
Ge1 0.500 0.500 0.500
Sb1 0.750 0.750 0.750
Sb2 0.250 0.250 0.250



3.
Below is Th2Ag2Rh3 after structural relaxation, with properties calculated at the PBE level.

The value obtained for the total magnetization is 0.000 μB/atom. For the density of states at the Fermi level, the calculation gives 0.599 states/eV/atom. The energy of formation comes out at -0.561 eV/atom.

Lattice parameters (Å, degrees): 4.217 5.289 7.924 102.78 105.43 113.65
Sites, in units of the cell vectors:
Rh1 0.000 0.000 0.000
Rh2 0.476 0.160 0.789
Rh3 0.524 0.840 0.211
Ag1 0.695 0.821 0.569
Th1 0.190 0.569 0.812
Ag2 0.305 0.179 0.431
Th2 0.810 0.431 0.188



4.
Below is Nd12TmGa6 after structural relaxation, with properties calculated at the PBE level.

The value obtained for the total magnetization is 0.000 μB/atom. For the density of states at the Fermi level, the calculation gives 1.189 states/eV/atom. The energy of formation comes out at -0.158 eV/atom.

Lattice parameters (Å, degrees): 9.019 9.019 9.019 108.14 108.14 108.14
Sites, in units of the cell vectors:
Tm1 0.000 0.000 0.000
Nd1 0.113 0.362 0.442
Ga1 0.670 0.787 0.356
Nd2 0.325 0.016 0.861
Nd3 0.016 0.861 0.325
Ga2 0.356 0.670 0.787
Nd4 0.558 0.887 0.638
Nd5 0.984 0.139 0.675
Ga3 0.644 0.330 0.213
Ga4 0.213 0.644 0.330
Ga5 0.330 0.213 0.644
Nd6 0.887 0.638 0.558
Nd7 0.675 0.984 0.139
Nd8 0.861 0.325 0.016
Nd9 0.362 0.442 0.113
Nd10 0.638 0.558 0.887
Nd11 0.139 0.675 0.984
Nd12 0.442 0.113 0.362
Ga6 0.787 0.356 0.670



5.
Below is YWAu2 after structural relaxation, with properties calculated at the PBE level.

The calculation puts the offset from the most stable computed form at 92 meV per atom. The value obtained for the total magnetization is 0.603 μB/atom. For the density of states at the Fermi level, the calculation gives 0.764 states/eV/atom. The energy of formation comes out at 0.157 eV/atom.

Lattice parameters (Å, degrees): 4.851 4.851 4.851 60.00 60.00 60.00
Last column: magnetic moment on the atom in μB.
Sites, in units of the cell vectors:
Au1 0.750 0.750 0.750  0.07
Y1 0.000 0.000 0.000  0.08
W1 0.500 0.500 0.500  1.70
Au2 0.250 0.250 0.250  0.07



6.
Below is Sr2In5Ga after structural relaxation, with properties calculated at the PBE level.

The value obtained for the total magnetization is 0.000 μB/atom. For the density of states at the Fermi level, the calculation gives 0.629 states/eV/atom. The energy of formation comes out at -0.292 eV/atom.

Lattice parameters (Å, degrees): 7.272 7.272 7.272 78.29 126.97 126.97
Sites, in units of the cell vectors:
In1 0.472 0.760 0.760
In2 0.000 0.288 0.760
Sr1 0.500 0.779 0.279
In3 0.000 0.192 0.192
Ga1 0.000 0.875 0.875
In4 0.528 0.288 0.288
In5 0.000 0.760 0.288
Sr2 0.500 0.279 0.779



7.
Below is ZrCd2Tc after structural relaxation, with properties calculated at the PBE level.

The calculation puts the offset from the most stable computed form at 179 meV per atom. The value obtained for the total magnetization is 0.000 μB/atom. For the density of states at the Fermi level, the calculation gives 0.591 states/eV/atom. The energy of formation comes out at 0.177 eV/atom.

Lattice parameters (Å, degrees): 5.501 5.501 2.869 90.00 90.00 118.52
Sites, in units of the cell vectors:
Cd1 0.000 0.000 0.000
Tc1 0.500 0.000 0.500
Zr1 0.000 0.500 0.500
Cd2 0.500 0.500 0.000



8.
Below is Cs2GaSn4Pb3 after structural relaxation, with properties calculated at the PBE level.

The value obtained for the total magnetization is 0.000 μB/atom. For the density of states at the Fermi level, the calculation gives 0.653 states/eV/atom. The energy of formation comes out at -0.106 eV/atom.

Lattice parameters (Å, degrees): 5.244 5.244 13.307 90.00 90.00 90.00
Sites, in units of the cell vectors:
Pb1 0.000 0.000 0.500
Sn1 0.500 0.000 0.617
Pb2 0.000 0.500 0.133
Sn2 0.000 0.500 0.383
Cs1 0.000 0.500 0.743
Ga1 0.500 0.500 0.500
Cs2 0.500 0.000 0.257
Sn3 0.500 0.500 0.000
Pb3 0.500 0.000 0.867
Sn4 0.000 0.000 0.000



9.
Below is Rb3AgAu2I6 after structural relaxation, with properties calculated at the PBE level.

As for the raw formation energy: -701 meV/atom. The value obtained for the total magnetization is 0.000 μB/atom.

Lattice parameters (Å, degrees): 8.774 8.774 9.554 90.00 90.00 120.00
Sites, in units of the cell vectors:
Au1 0.667 0.333 0.715
I1 0.690 0.845 0.294
Rb1 0.000 0.000 0.000
I2 0.845 0.690 0.706
I3 0.155 0.310 0.294
Ag1 0.000 0.000 0.500
I4 0.845 0.155 0.706
Au2 0.333 0.667 0.285
Rb2 0.333 0.667 0.648
I5 0.155 0.845 0.294
I6 0.310 0.155 0.706
Rb3 0.667 0.333 0.352



10.
Below is Nd5SnTe5 after structural relaxation, with properties calculated at the PBE level.

As for the raw formation energy: -1355 meV/atom. The value obtained for the total magnetization is 0.000 μB/atom. For the density of states at the Fermi level, the calculation gives 0.229 states/eV/atom.

Lattice parameters (Å, degrees): 6.368 7.797 8.982 106.68 90.00 114.10
Sites, in units of the cell vectors:
Nd1 0.837 0.673 0.669
Nd2 0.837 0.675 0.170
Nd3 0.163 0.325 0.830
Sn1 0.000 0.000 0.000
Nd4 0.500 0.000 0.000
Te1 0.666 0.331 0.336
Te2 0.334 0.667 0.169
Te3 0.334 0.669 0.664
Nd5 0.163 0.327 0.331
Te4 0.666 0.333 0.831
Te5 0.000 0.000 0.500



11.
Below is Cu2Pd after structural relaxation, with properties calculated at the PBE level.

The calculation puts the offset from the most stable computed form at 0 meV per atom. The value obtained for the total magnetization is 0.000 μB/atom. For the density of states at the Fermi level, the calculation gives 0.296 states/eV/atom. The energy of formation comes out at -0.109 eV/atom.

Lattice parameters (Å, degrees): 3.814 4.510 5.269 103.87 90.00 115.02
Sites, in units of the cell vectors:
Cu1 0.500 0.000 0.000
Pd1 0.839 0.679 0.176
Pd2 0.161 0.321 0.824
Cu2 0.500 0.000 0.500
Cu3 0.831 0.662 0.664
Cu4 0.169 0.338 0.336



12.
Below is Tm2TiAl2Rh5 after structural relaxation, with properties calculated at the PBE level.

The value obtained for the total magnetization is 0.000 μB/atom. For the density of states at the Fermi level, the calculation gives 0.281 states/eV/atom. The energy of formation comes out at -0.904 eV/atom.

Lattice parameters (Å, degrees): 3.381 9.902 9.902 90.00 90.00 90.00
Sites, in units of the cell vectors:
Rh1 0.500 0.702 0.434
Rh2 0.500 0.434 0.298
Rh3 0.500 0.298 0.566
Tm1 0.000 0.172 0.328
Rh4 0.500 0.798 0.934
Rh5 0.500 0.000 0.500
Al1 0.000 0.627 0.873
Tm2 0.000 0.328 0.828
Tm3 0.000 0.672 0.172
Rh6 0.500 0.202 0.066
Ti1 0.000 0.500 0.500
Tm4 0.000 0.828 0.672
Al2 0.000 0.127 0.627
Al3 0.000 0.873 0.373
Rh7 0.500 0.934 0.202
Rh8 0.500 0.066 0.798
Rh9 0.500 0.500 0.000
Rh10 0.500 0.566 0.702
Al4 0.000 0.373 0.127
Ti2 0.000 0.000 0.000



13.
Below is CuIr2Cl after structural relaxation, with properties calculated at the PBE level.

The calculation puts the offset from the most stable computed form at 184 meV per atom. As for the raw formation energy: 465 meV/atom. The value obtained for the total magnetization is 0.000 μB/atom. For the density of states at the Fermi level, the calculation gives 0.968 states/eV/atom.

Lattice parameters (Å, degrees): 2.849 2.849 8.636 90.00 90.00 121.66
Sites, in units of the cell vectors:
Ir1 0.500 0.500 0.251
Cu1 0.500 0.500 0.742
Ir2 0.000 0.000 0.994
Cl1 0.000 0.000 0.513



14.
Below is CaNiRh2 after structural relaxation, with properties calculated at the PBE level.

The calculation puts the offset from the most stable computed form at 105 meV per atom. The value obtained for the total magnetization is 0.489 μB/atom. For the density of states at the Fermi level, the calculation gives 0.683 states/eV/atom. The energy of formation comes out at 0.108 eV/atom.

Lattice parameters (Å, degrees): 4.483 4.483 4.483 60.00 60.00 60.00
Last column: magnetic moment on the atom in μB.
Sites, in units of the cell vectors:
Rh1 0.250 0.250 0.250  0.57
Rh2 0.750 0.750 0.750  0.57
Ni1 0.500 0.500 0.500  0.90
Ca1 0.000 0.000 0.000  -0.02



15.
Below is Tm5BiPd2 after structural relaxation, with properties calculated at the PBE level.

The value obtained for the total magnetization is 0.000 μB/atom. For the density of states at the Fermi level, the calculation gives 0.735 states/eV/atom. The energy of formation comes out at -0.708 eV/atom.

Lattice parameters (Å, degrees): 8.728 8.728 8.728 127.51 127.51 77.42
Sites, in units of the cell vectors:
Tm1 0.986 0.794 0.500
Tm2 0.000 0.000 0.000
Bi1 0.250 0.250 0.000
Tm3 0.486 0.986 0.191
Pd1 0.638 0.862 0.500
Pd2 0.138 0.638 0.776
Tm4 0.294 0.486 0.500
Pd3 0.862 0.362 0.224
Tm5 0.014 0.206 0.500
Tm6 0.206 0.706 0.191
Tm7 0.794 0.294 0.809
Tm8 0.514 0.014 0.809
Pd4 0.362 0.138 0.500
Tm9 0.500 0.500 0.000
Tm10 0.706 0.514 0.500
Bi2 0.750 0.750 0.000



16.
Below is CrHPdAu2 after structural relaxation, with properties calculated at the PBE level.

The calculation puts the offset from the most stable computed form at 0 meV per atom. The value obtained for the total magnetization is 0.829 μB/atom. For the density of states at the Fermi level, the calculation gives 0.566 states/eV/atom.

Lattice parameters (Å, degrees): 4.199 4.199 3.934 90.00 90.00 90.00
Last column: magnetic moment on the atom in μB.
Sites, in units of the cell vectors:
Pd1 0.500 0.500 0.500  0.18
Au1 0.000 0.500 0.000  0.08
H1 0.000 0.000 0.000  -0.02
Au2 0.500 0.000 0.000  0.08
Cr1 0.000 0.000 0.500  3.52



17.
Below is ZrRh2Cl after structural relaxation, with properties calculated at the PBE level.

The calculation puts the offset from the most stable computed form at 442 meV per atom. As for the raw formation energy: -1 meV/atom. The value obtained for the total magnetization is 0.000 μB/atom. For the density of states at the Fermi level, the calculation gives 0.769 states/eV/atom.

Lattice parameters (Å, degrees): 4.685 4.685 3.220 90.00 90.00 106.40
Sites, in units of the cell vectors:
Rh1 0.500 0.500 0.000
Zr1 0.500 0.000 0.500
Rh2 0.000 0.000 0.000
Cl1 0.000 0.500 0.500



18.
Below is Li2Ca3Mg after structural relaxation, with properties calculated at the PBE level.

The value obtained for the total magnetization is 0.000 μB/atom. For the density of states at the Fermi level, the calculation gives 0.892 states/eV/atom. The energy of formation comes out at -0.019 eV/atom.

Lattice parameters (Å, degrees): 3.923 3.923 12.161 90.00 90.00 90.00
Sites, in units of the cell vectors:
Ca1 0.000 0.000 0.000
Ca2 0.000 0.000 0.332
Li1 0.500 0.500 0.166
Ca3 0.000 0.000 0.668
Mg1 0.500 0.500 0.500
Li2 0.500 0.500 0.834



19.
Below is Tb6Y3Ho2In after structural relaxation, with properties calculated at the PBE level.

The value obtained for the total magnetization is 0.000 μB/atom. For the density of states at the Fermi level, the calculation gives 1.284 states/eV/atom. The energy of formation comes out at -0.038 eV/atom.

Lattice parameters (Å, degrees): 6.115 6.115 11.643 95.05 95.05 120.06
Sites, in units of the cell vectors:
In1 0.000 0.000 0.000
Tb1 0.753 0.753 0.247
Y1 0.167 0.833 0.500
Tb2 0.410 0.081 0.246
Y2 0.833 0.167 0.500
Ho1 0.666 0.334 0.000
Tb3 0.081 0.410 0.246
Tb4 0.247 0.247 0.753
Ho2 0.334 0.666 0.000
Tb5 0.919 0.590 0.754
Y3 0.500 0.500 0.500
Tb6 0.590 0.919 0.754



20.
Below is Rb2PaCu2S6 after structural relaxation, with properties calculated at the PBE level.

As for the raw formation energy: -820 meV/atom. The value obtained for the total magnetization is 0.000 μB/atom. For the density of states at the Fermi level, the calculation gives 0.614 states/eV/atom.

Lattice parameters (Å, degrees): 5.816 7.238 9.105 116.22 90.00 113.69
Sites, in units of the cell vectors:
S1 0.716 0.433 0.601
Rb1 0.303 0.605 0.825
S2 0.791 0.082 0.775
S3 0.708 0.918 0.225
Rb2 0.697 0.395 0.175
Pa1 0.500 0.000 0.500
Cu1 0.899 0.799 0.683
S4 0.284 0.567 0.399
Cu2 0.101 0.201 0.317
S5 0.292 0.082 0.775
S6 0.209 0.918 0.225



21.
Below is Dy2B2Ru5W after structural relaxation, with properties calculated at the PBE level.

The value obtained for the total magnetization is 0.000 μB/atom. For the density of states at the Fermi level, the calculation gives 0.532 states/eV/atom. The energy of formation comes out at -0.438 eV/atom.

Lattice parameters (Å, degrees): 3.099 9.657 9.657 90.00 90.00 90.00
Sites, in units of the cell vectors:
B1 0.000 0.381 0.119
Dy1 0.000 0.676 0.176
Dy2 0.000 0.824 0.676
W1 0.000 0.500 0.500
Ru1 0.500 0.069 0.784
Ru2 0.500 0.784 0.931
Dy3 0.000 0.324 0.824
Ru3 0.500 0.931 0.216
Dy4 0.000 0.176 0.324
Ru4 0.500 0.284 0.569
Ru5 0.500 0.000 0.500
B2 0.000 0.619 0.881
B3 0.000 0.119 0.619
Ru6 0.500 0.500 0.000
Ru7 0.500 0.431 0.284
Ru8 0.500 0.569 0.716
Ru9 0.500 0.716 0.431
W2 0.000 0.000 0.000
Ru10 0.500 0.216 0.069
B4 0.000 0.881 0.381



22.
Below is Tb5Tl4Au after structural relaxation, with properties calculated at the PBE level.

The value obtained for the total magnetization is 0.000 μB/atom. For the density of states at the Fermi level, the calculation gives 0.539 states/eV/atom. The energy of formation comes out at -0.466 eV/atom.

Lattice parameters (Å, degrees): 3.632 3.632 20.360 90.00 90.00 90.00
Sites, in units of the cell vectors:
Tl1 0.000 0.000 0.191
Tl2 0.000 0.000 0.603
Tb1 0.500 0.500 0.087
Tb2 0.500 0.500 0.294
Tb3 0.500 0.500 0.500
Tl3 0.000 0.000 0.809
Tl4 0.000 0.000 0.397
Tb4 0.500 0.500 0.913
Tb5 0.500 0.500 0.706
Au1 0.000 0.000 0.000



23.
Below is Y2Er3 after structural relaxation, with properties calculated at the PBE level.

The calculation puts the offset from the most stable computed form at 0 meV per atom. The value obtained for the total magnetization is 0.000 μB/atom. For the density of states at the Fermi level, the calculation gives 1.598 states/eV/atom. The energy of formation comes out at 0.208 eV/atom.

Lattice parameters (Å, degrees): 3.611 7.559 12.264 87.99 81.54 76.18
Sites, in units of the cell vectors:
Er1 0.156 0.778 0.302
Er2 0.684 0.722 0.802
Y1 0.525 0.134 0.422
Y2 0.082 0.866 0.578
Er3 0.236 0.222 0.698
Er4 0.001 0.000 0.000
Y3 0.410 0.366 0.922
Y4 0.697 0.634 0.078
Er5 0.208 0.278 0.198
Er6 0.751 0.500 0.500